The following is a PBE calculation of a relaxed Nd6NiSn3 crystal, from Alexandria via LeMat-Bulk.

Structure (CIF):
```
data_Nd6NiSn3
_space_group_name_H-M_alt 'P 1'
_space_group_IT_number 1
_cell_length_a 7.378
_cell_length_b 9.714
_cell_length_c 9.714
_cell_angle_alpha 104.53
_cell_angle_beta 90.00
_cell_angle_gamma 90.00
loop_
_space_group_symop_operation_xyz
'x,y,z'
loop_
_atom_site_label
_atom_site_type_symbol
_atom_site_fract_x
_atom_site_fract_y
_atom_site_fract_z
_atom_site_occupancy
Sn1 Sn 0.868 0.606 0.394 1
Sn2 Sn 0.988 0.065 0.291 1
Sn3 Sn 0.368 0.394 0.606 1
Sn4 Sn 0.488 0.935 0.709 1
Sn5 Sn 0.488 0.291 0.065 1
Sn6 Sn 0.988 0.709 0.935 1
Nd1 Nd 0.272 0.992 0.008 1
Nd2 Nd 0.772 0.008 0.992 1
Nd3 Nd 0.668 0.592 0.099 1
Nd4 Nd 0.168 0.364 0.296 1
Nd5 Nd 0.668 0.296 0.364 1
Nd6 Nd 0.168 0.408 0.901 1
Nd7 Nd 0.168 0.704 0.636 1
Nd8 Nd 0.668 0.636 0.704 1
Nd9 Nd 0.668 0.901 0.408 1
Nd10 Nd 0.682 0.241 0.759 1
Nd11 Nd 0.168 0.099 0.592 1
Nd12 Nd 0.182 0.759 0.241 1
Ni1 Ni 0.015 0.143 0.857 1
Ni2 Ni 0.515 0.857 0.143 1
```

Symmetry = Cmc2_1
Total magnetic moment = 0.00 μB per formula unit
E_tot = -4.978 eV/atom

The following is a PBE calculation of a relaxed NdNi2Sn2 crystal, from Alexandria via LeMat-Bulk.

Structure (CIF):
```
data_NdNi2Sn2
_space_group_name_H-M_alt 'P 1'
_space_group_IT_number 1
_cell_length_a 4.445
_cell_length_b 4.445
_cell_length_c 10.215
_cell_angle_alpha 90.00
_cell_angle_beta 90.00
_cell_angle_gamma 90.00
loop_
_space_group_symop_operation_xyz
'x,y,z'
loop_
_atom_site_label
_atom_site_type_symbol
_atom_site_fract_x
_atom_site_fract_y
_atom_site_fract_z
_atom_site_occupancy
Sn1 Sn 0.000 0.500 0.126 1
Sn2 Sn 0.000 0.000 0.500 1
Sn3 Sn 0.500 0.500 0.500 1
Sn4 Sn 0.500 0.000 0.874 1
Ni1 Ni 0.500 0.500 0.000 1
Ni2 Ni 0.500 0.000 0.629 1
Ni3 Ni 0.000 0.000 0.000 1
Ni4 Ni 0.000 0.500 0.371 1
Nd1 Nd 0.500 0.000 0.239 1
Nd2 Nd 0.000 0.500 0.761 1
```

Symmetry = P4/nmm
Total magnetic moment = 0.00 μB per formula unit
E_tot = -5.403 eV/atom

The following is a PBE calculation of a relaxed Nd4NiSn2 crystal, from Alexandria via LeMat-Bulk.

Structure (CIF):
```
data_Nd4NiSn2
_space_group_name_H-M_alt 'P 1'
_space_group_IT_number 1
_cell_length_a 6.644
_cell_length_b 6.857
_cell_length_c 10.081
_cell_angle_alpha 90.00
_cell_angle_beta 115.35
_cell_angle_gamma 90.00
loop_
_space_group_symop_operation_xyz
'x,y,z'
loop_
_atom_site_label
_atom_site_type_symbol
_atom_site_fract_x
_atom_site_fract_y
_atom_site_fract_z
_atom_site_occupancy
Nd1 Nd 0.129 0.750 0.882 1
Nd2 Nd 0.914 0.250 0.597 1
Nd3 Nd 0.086 0.750 0.403 1
Nd4 Nd 0.544 0.999 0.749 1
Nd5 Nd 0.871 0.250 0.118 1
Nd6 Nd 0.456 0.001 0.251 1
Nd7 Nd 0.544 0.501 0.749 1
Nd8 Nd 0.456 0.499 0.251 1
Sn1 Sn 0.736 0.750 0.551 1
Sn2 Sn 0.679 0.750 0.061 1
Sn3 Sn 0.321 0.250 0.939 1
Sn4 Sn 0.264 0.250 0.449 1
Ni1 Ni 0.909 0.250 0.867 1
Ni2 Ni 0.091 0.750 0.133 1
```

Symmetry = P2_1/m
Total magnetic moment = 0.00 μB per formula unit
E_tot = -5.193 eV/atom

The following is a PBE calculation of a relaxed NdNi2Sn4 crystal, from Alexandria via LeMat-Bulk.

Structure (CIF):
```
data_NdNi2Sn4
_space_group_name_H-M_alt 'P 1'
_space_group_IT_number 1
_cell_length_a 4.917
_cell_length_b 4.984
_cell_length_c 6.754
_cell_angle_alpha 111.65
_cell_angle_beta 90.00
_cell_angle_gamma 90.00
loop_
_space_group_symop_operation_xyz
'x,y,z'
loop_
_atom_site_label
_atom_site_type_symbol
_atom_site_fract_x
_atom_site_fract_y
_atom_site_fract_z
_atom_site_occupancy
Ni1 Ni 0.500 0.600 0.200 1
Ni2 Ni 0.500 0.400 0.800 1
Sn1 Sn 0.000 0.670 0.339 1
Sn2 Sn 0.500 0.828 0.657 1
Sn3 Sn 0.000 0.330 0.661 1
Sn4 Sn 0.500 0.172 0.343 1
Nd1 Nd 0.000 0.000 0.000 1
```

Symmetry = Cmmm
Total magnetic moment = 0.00 μB per formula unit
E_tot = -4.844 eV/atom

The following is a PBE calculation of a relaxed Nd12Ni5Sn crystal, from Alexandria via LeMat-Bulk.

Structure (CIF):
```
data_Nd12Ni5Sn
_space_group_name_H-M_alt 'P 1'
_space_group_IT_number 1
_cell_length_a 8.636
_cell_length_b 8.636
_cell_length_c 8.636
_cell_angle_alpha 106.37
_cell_angle_beta 112.33
_cell_angle_gamma 109.77
loop_
_space_group_symop_operation_xyz
'x,y,z'
loop_
_atom_site_label
_atom_site_type_symbol
_atom_site_fract_x
_atom_site_fract_y
_atom_site_fract_z
_atom_site_occupancy
Ni1 Ni 0.631 0.631 0.000 1
Ni2 Ni 0.500 0.877 0.377 1
Ni3 Ni 0.500 0.123 0.623 1
Ni4 Ni 0.000 0.000 0.000 1
Ni5 Ni 0.369 0.369 0.000 1
Nd1 Nd 0.307 0.678 0.985 1
Nd2 Nd 0.811 0.016 0.205 1
Nd3 Nd 0.881 0.182 0.699 1
Nd4 Nd 0.189 0.394 0.205 1
Nd5 Nd 0.119 0.818 0.301 1
Nd6 Nd 0.516 0.818 0.699 1
Nd7 Nd 0.693 0.322 0.015 1
Nd8 Nd 0.811 0.606 0.795 1
Nd9 Nd 0.307 0.322 0.630 1
Nd10 Nd 0.484 0.182 0.301 1
Nd11 Nd 0.693 0.678 0.370 1
Nd12 Nd 0.189 0.984 0.795 1
Sn1 Sn 0.000 0.500 0.500 1
```

Symmetry = Immm
Total magnetic moment = 0.00 μB per formula unit
E_tot = -5.290 eV/atom

The following is a PBE calculation of a relaxed Nd2Ni5Sn4 crystal, from Alexandria via LeMat-Bulk.

Structure (CIF):
```
data_Nd2Ni5Sn4
_space_group_name_H-M_alt 'P 1'
_space_group_IT_number 1
_cell_length_a 5.757
_cell_length_b 5.799
_cell_length_c 8.087
_cell_angle_alpha 79.82
_cell_angle_beta 69.15
_cell_angle_gamma 60.24
loop_
_space_group_symop_operation_xyz
'x,y,z'
loop_
_atom_site_label
_atom_site_type_symbol
_atom_site_fract_x
_atom_site_fract_y
_atom_site_fract_z
_atom_site_occupancy
Nd1 Nd 0.141 0.000 0.719 1
Nd2 Nd 0.859 0.000 0.281 1
Sn1 Sn 0.472 0.315 0.742 1
Sn2 Sn 0.786 0.685 0.742 1
Sn3 Sn 0.528 0.685 0.258 1
Sn4 Sn 0.214 0.315 0.258 1
Ni1 Ni 0.250 0.500 0.500 1
Ni2 Ni 0.750 0.500 0.500 1
Ni3 Ni 0.500 0.000 0.000 1
Ni4 Ni 0.000 0.500 0.000 1
Ni5 Ni 0.500 0.500 0.000 1
```

Symmetry = Fmmm
Total magnetic moment = 0.00 μB per formula unit
E_tot = -5.290 eV/atom